[1]
{"formula": "Cs2RbIF", "functional": "GGA-PBE", "state": "relaxed", "formation_energy_uncorrected_mev_per_atom": -1465.3, "polymorph_energy_kj_per_mol_atoms": 4.4, "space_group": "P4/mmm (123)", "lattice_angstrom": [[5.692, 0.000, 0.000], [0.000, 5.692, 0.000], [0.000, 0.000, 8.893]], "species": ["I", "Rb", "F", "Cs", "Cs"], "frac_coords": [[0.000, 0.000, 0.500], [0.500, 0.500, 0.500], [0.000, 0.000, 0.000], [0.000, 0.500, 0.000], [0.500, 0.000, 0.000]]}

***

[2]
{"formula": "Pm3GeRh3Au2", "functional": "GGA-PBE", "state": "relaxed", "e_form_kj_per_mol_atoms": -72, "space_group": "P-62m (189)", "lattice_angstrom": [[-0.887, -1.752, 3.135], [7.243, 0.540, 2.351], [-4.982, 5.534, 1.684]], "species": ["Pm", "Rh", "Au", "Au", "Pm", "Rh", "Rh", "Pm", "Ge"], "frac_coords": [[0.000, 0.608, 0.608], [0.500, 0.773, 0.000], [0.500, 0.333, 0.667], [0.500, 0.667, 0.333], [0.000, 0.000, 0.392], [0.500, 0.227, 0.227], [0.500, 0.000, 0.773], [0.000, 0.392, 0.000], [0.000, 0.000, 0.000]]}

***

[3]
{"formula": "K2MgSe", "functional": "GGA-PBE", "state": "relaxed", "formation_energy_uncorrected_mev_per_atom": -366.1, "polymorph_energy_kj_per_mol_atoms": 24.9, "space_group": "I-4m2 (119)", "lattice_angstrom": [[-5.131, -3.734, -1.261], [-0.629, -1.546, -6.251], [4.854, -0.245, 4.272]], "species": ["Mg", "K", "K", "Se"], "frac_coords": [[0.500, 0.500, 0.000], [0.250, 0.750, 0.500], [0.000, 0.000, 0.000], [0.750, 0.250, 0.500]]}

***

[4]
{"formula": "Fe2OsPt", "functional": "GGA-PBE", "state": "relaxed", "polymorph_energy_kj_per_mol_atoms": 29.1, "e_form_kj_per_mol_atoms": 29, "space_group": "F-43m (216)", "lattice_angstrom": [[4.274, 0.000, 0.000], [2.137, 3.702, 0.000], [2.137, 1.234, 3.490]], "species": ["Os", "Fe", "Fe", "Pt"], "frac_coords": [[0.500, 0.500, 0.500], [0.750, 0.750, 0.750], [0.000, 0.000, 0.000], [0.250, 0.250, 0.250]]}

***

[5]
{"formula": "V2FeTc", "functional": "GGA-PBE", "state": "relaxed", "e_form_kj_per_mol_atoms": 41, "space_group": "I-42d (122)", "lattice_angstrom": [[-0.208, -4.348, -4.885], [6.086, 1.659, -1.736], [3.881, -3.157, -1.737]], "species": ["Tc", "Fe", "V", "V", "Tc", "Fe", "V", "V"], "frac_coords": [[0.750, 0.250, 0.500], [0.500, 0.500, 0.000], [0.610, 0.125, 0.250], [0.140, 0.625, 0.250], [0.000, 0.000, 0.000], [0.250, 0.750, 0.500], [0.375, 0.390, 0.750], [0.875, 0.860, 0.750]]}

***

[6]
{"formula": "NdTm2Pb3", "functional": "GGA-PBE", "state": "relaxed", "polymorph_energy_kj_per_mol_atoms": 0.0, "e_form_kj_per_mol_atoms": -45, "space_group": "C2/c (15)", "lattice_angstrom": [[-5.759, 2.517, 1.244], [-1.508, -0.357, -6.250], [-0.911, -8.099, 3.998]], "species": ["Pb", "Pb", "Pb", "Pb", "Pb", "Tm", "Tm", "Pb", "Tm", "Nd", "Tm", "Nd"], "frac_coords": [[0.750, 0.624, 0.000], [0.088, 0.294, 0.341], [0.588, 0.047, 0.341], [0.912, 0.706, 0.659], [0.412, 0.953, 0.659], [0.577, 0.543, 0.332], [0.077, 0.789, 0.332], [0.250, 0.376, 0.000], [0.423, 0.457, 0.668], [0.750, 0.126, 0.000], [0.923, 0.211, 0.668], [0.250, 0.874, 0.000]]}

***

[7]
{"formula": "BBr", "functional": "GGA-PBE", "state": "relaxed", "formation_energy_uncorrected_mev_per_atom": 1404.3, "polymorph_energy_kj_per_mol_atoms": 167.0, "space_group": "P6_3mc (186)", "lattice_angstrom": [[-2.809, 4.159, 4.602], [-0.237, -6.743, 0.912], [4.969, 0.210, 2.843]], "species": ["B", "Br", "Br", "B"], "frac_coords": [[0.333, 0.667, 0.376], [0.667, 0.333, 0.206], [0.333, 0.667, 0.706], [0.667, 0.333, 0.876]]}

***

[8]
{"formula": "TlInHg2H", "functional": "GGA-PBE", "state": "relaxed", "polymorph_energy_kj_per_mol_atoms": 0.0, "space_group": "P4/mmm (123)", "lattice_angstrom": [[-0.011, 1.757, -5.578], [-5.810, 0.631, 0.210], [0.425, 3.544, 1.116]], "species": ["Hg", "H", "Hg", "In", "Tl"], "frac_coords": [[0.000, 0.500, 0.000], [0.000, 0.000, 0.500], [0.500, 0.000, 0.000], [0.000, 0.000, 0.000], [0.500, 0.500, 0.500]]}

***

Number 1: theoretical density 2.9 Mg/m³, V 288.1 Å³ per cell. Number 2: theoretical density 10.8 Mg/m³, V 186.7 Å³ per cell. Number 3: theoretical density 2.2 Mg/m³, V 135.4 Å³ per cell. Number 4: theoretical density 14.9 Mg/m³, V 55.2 Å³ per cell. Number 5: theoretical density 7.7 Mg/m³, V 110.3 Å³ per cell. Number 6: theoretical density 10.7 Mg/m³, V 344.0 Å³ per cell. Number 7: theoretical density 1.3 Mg/m³, V 230.0 Å³ per cell. Number 8: theoretical density 9.4 Mg/m³, V 127.9 Å³ per cell.